(1)
MoRu2Rh: relaxed, PBEsol.

**DFT formation energy**: 0.018 eV per atom
**E above lowest polymorph**: 0.1051 eV per atom

a = 2.6936 Å, b = 4.6617 Å, c = 4.6686 Å
α = 99.73°, β = 106.77°, γ = 90.00°
Closest atoms and distances in Å follow each position.
Element x y z (fractional)
Mo 0.5003 0.4974 0.0005  7 Ru 2.66-2.73, 3 Rh 2.68-2.69, 2 Mo 2.69
Rh 0.7494 0.2526 0.4987  7 Ru 2.66-2.73, 3 Mo 2.68-2.69, 2 Rh 2.69
Ru 0.9976 0.9878 0.9952  5 Ru 2.63-2.69, 4 Mo 2.66-2.73, 3 Rh 2.72
Ru 0.2528 0.7622 0.5055  5 Ru 2.63-2.69, 4 Rh 2.66-2.73, 3 Mo 2.72-2.73



(2)
MoRu2Rh: relaxed, PBEsol.

**DFT formation energy**: -0.051 eV per atom
**E above lowest polymorph**: 0.0367 eV per atom

a = 3.8076 Å, b = 3.8076 Å, c = 4.6580 Å
α = 114.12°, β = 114.12°, γ = 90.00°
Closest atoms and distances in Å follow each position.
Element x y z (fractional)
Mo 0.0000 0.0000 0.0000  8 Ru 2.69, 4 Rh 2.69
Ru 0.5000 0.5000 0.0000  4 Rh 2.69, 4 Ru 2.69, 4 Mo 2.69
Ru 0.7500 0.2500 0.5000  4 Ru 2.69, 4 Mo 2.69, 4 Rh 2.69
Rh 0.2500 0.7500 0.5000  4 Mo 2.69, 8 Ru 2.69



(3)
MoRu2Rh: relaxed, PBEsol.

**DFT formation energy**: 0.009 eV per atom
**E above lowest polymorph**: 0.0964 eV per atom

a = 2.6851 Å, b = 2.6851 Å, c = 7.6797 Å
α = 90.00°, β = 90.00°, γ = 90.00°
Closest atoms and distances in Å follow each position.
Element x y z (fractional)
Mo 0.0000 0.0000 0.5036  4 Mo 2.69, 4 Rh 2.69, 4 Ru 2.79
Ru 0.0000 0.0000 0.0069  8 Ru 2.60-2.69, 4 Rh 2.73
Ru 0.5000 0.5000 0.2376  8 Ru 2.60-2.69, 4 Mo 2.79
Rh 0.5000 0.5000 0.7519  4 Rh 2.69, 4 Mo 2.69, 4 Ru 2.73



(4)
TaMo2RuRh: relaxed, PBEsol.

**DFT formation energy**: 1.567 eV per atom

a = 4.5271 Å, b = 4.5271 Å, c = 4.6738 Å
α = 90.00°, β = 90.00°, γ = 90.00°
Closest atoms and distances in Å follow each position.
Element x y z (fractional)
Ru 0.0000 0.0000 0.0000  4 Mo 2.26, 2 Ta 2.34
Mo 0.0000 0.5000 0.0000  2 Ru 2.26
Mo 0.5000 0.0000 0.0000  2 Ru 2.26
Ta 0.0000 0.0000 0.5000  2 Ru 2.34
Rh 0.5000 0.5000 0.5000  4 Ta 3.20, 8 Mo 3.25



(5)
TiMoRhS2: relaxed, PBEsol.

**Formation energy (no corrections)**: 0.54 eV/atom

a = 4.4577 Å, b = 4.5162 Å, c = 4.5162 Å
α = 90.00°, β = 90.00°, γ = 90.00°
Closest atoms and distances in Å follow each position.
Element x y z (fractional)
S 0.0000 0.5000 0.0000  2 Ti 2.26
S 0.0000 0.0000 0.5000  2 Ti 2.26
Ti 0.0000 0.0000 0.0000  2 Rh 2.23, 4 S 2.26
Mo 0.5000 0.5000 0.5000  8 S 3.17, 4 Rh 3.19
Rh 0.5000 0.0000 0.0000  2 Ti 2.23



(6)
SbMo2Rh: relaxed, PBEsol.

**Formation energy (no corrections)**: 0.19 eV/atom

a = 4.4824 Å, b = 4.4824 Å, c = 4.4824 Å
α = 60.00°, β = 60.00°, γ = 60.00°
Closest atoms and distances in Å follow each position.
Element x y z (fractional)
Rh 0.5000 0.5000 0.5000  4 Mo 2.74, 4 Sb 2.74
Mo 0.0000 0.0000 0.0000  4 Mo 2.74, 4 Sb 2.74
Mo 0.7500 0.7500 0.7500  4 Mo 2.74, 4 Rh 2.74
Sb 0.2500 0.2500 0.2500  4 Mo 2.74, 4 Rh 2.74



(7)
SbMo2Rh: relaxed, PBEsol.

**Formation energy (no corrections)**: 0.07 eV/atom

a = 3.0998 Å, b = 4.4571 Å, c = 5.0040 Å
α = 101.53°, β = 108.04°, γ = 90.00°
Closest atoms and distances in Å follow each position.
Element x y z (fractional)
Sb 0.5000 0.0000 0.0000  4 Rh 2.71, 6 Mo 2.85-2.92
Rh 0.0000 0.5000 0.0000  4 Sb 2.71, 6 Mo 2.81-2.82
Mo 0.7455 0.7282 0.4911  4 Mo 2.57-2.86, 3 Rh 2.81-2.82, 1 Sb 2.85
Mo 0.2545 0.2718 0.5089  4 Mo 2.57-2.86, 3 Rh 2.81-2.82, 1 Sb 2.85



(8)
SnSb2MoRh: relaxed, PBEsol.

**Formation energy (no corrections)**: 1.62 eV/atom

a = 4.7659 Å, b = 5.4144 Å, c = 5.4144 Å
α = 90.00°, β = 90.00°, γ = 90.00°
Closest atoms and distances in Å follow each position.
Element x y z (fractional)
Sb 0.0000 0.0000 0.5000  2 Sn 2.71
Sb 0.0000 0.5000 0.0000  2 Sn 2.71
Rh 0.5000 0.0000 0.0000  2 Sn 2.38
Sn 0.0000 0.0000 0.0000  2 Rh 2.38
Mo 0.5000 0.5000 0.5000  8 Sb 3.61, 4 Rh 3.83



(9)
SbTe2MoRh: relaxed, PBEsol.

**Formation energy (no corrections)**: 0.97 eV/atom

a = 4.8727 Å, b = 5.1826 Å, c = 5.1826 Å
α = 90.00°, β = 90.00°, γ = 90.00°
Closest atoms and distances in Å follow each position.
Element x y z (fractional)
Te 0.0000 0.0000 0.5000  2 Rh 2.59
Te 0.0000 0.5000 0.0000  2 Rh 2.59
Mo 0.5000 0.5000 0.5000  8 Te 3.56, 4 Sb 3.66
Sb 0.5000 0.0000 0.0000  2 Rh 2.44
Rh 0.0000 0.0000 0.0000  2 Sb 2.44, 4 Te 2.59



(10)
Sc2MoRh: relaxed, PBEsol.

**DFT formation energy**: -0.159 eV per atom

a = 2.9312 Å, b = 2.9312 Å, c = 8.4487 Å
α = 90.00°, β = 90.00°, γ = 90.00°
Closest atoms and distances in Å follow each position.
Element x y z (fractional)
Sc 0.0000 0.0000 0.9496  4 Rh 2.78, 4 Sc 2.93
Sc 0.5000 0.5000 0.2887  4 Mo 2.92, 4 Sc 2.93
Mo 0.0000 0.0000 0.5322  4 Rh 2.66, 4 Sc 2.92, 4 Mo 2.93
Rh 0.5000 0.5000 0.7295  4 Mo 2.66, 4 Sc 2.78, 4 Rh 2.93



(11)
Sc3MoRh: relaxed, PBEsol.

**DFT formation energy**: 0.449 eV per atom

a = 4.8477 Å, b = 4.8477 Å, c = 4.8477 Å
α = 90.00°, β = 90.00°, γ = 90.00°
Closest atoms and distances in Å follow each position.
Element x y z (fractional)
Sc 0.0000 0.0000 0.5000  2 Rh 2.42
Sc 0.5000 0.0000 0.0000  2 Rh 2.42
Sc 0.0000 0.5000 0.0000  2 Rh 2.42
Mo 0.5000 0.5000 0.5000  12 Sc 3.43
Rh 0.0000 0.0000 0.0000  6 Sc 2.42



(12)
Sc2MoRh: relaxed, PBEsol.

**DFT formation energy**: -0.119 eV per atom

a = 3.1788 Å, b = 4.9358 Å, c = 5.1954 Å
α = 118.36°, β = 107.81°, γ = 90.00°
Closest atoms and distances in Å follow each position.
Element x y z (fractional)
Sc 0.2594 0.2594 0.5189  2 Rh 2.60, 2 Mo 2.73
Sc 0.7406 0.7406 0.4811  2 Rh 2.60, 2 Mo 2.73
Mo 0.5000 0.0000 0.0000  4 Sc 2.73, 4 Rh 2.94
Rh 0.0000 0.5000 0.0000  4 Sc 2.60



no.,Fermi-level density of states (states/eV per cell)
1,4.42
2,3.34
3,4.04
4,5.79
5,3.12
6,4.78
7,3.40
8,3.63
9,3.54
10,3.66
11,5.20
12,4.56